1.
Computed, not measured: CoNiSF2 after structural relaxation at the PBE+U level of DFT.

The value obtained for the density of states at the Fermi level is 2.7 states/eV per cell. Its energy is -2.917 eV/atom. As for the spin magnetization: 2.9 μB/cell. The space group is P4/mmm.

a = 4.2524 Å, b = 4.3012 Å, c = 4.2524 Å
α = 90.00°, β = 90.00°, γ = 90.00°
With the nearest neighbours (Å) after each atom.
Positions (direct):
Ni  0.0000  0.5000  0.0000  2 S 2.15
S  0.0000  0.0000  0.0000  4 F 2.13, 2 Ni 2.15
Co  0.5000  0.5000  0.5000  4 Ni 3.01, 8 F 3.02
F  0.0000  0.0000  0.5000  2 S 2.13
F  0.5000  0.0000  0.0000  2 S 2.13


2.
Computed, not measured: Co2NiSnF after structural relaxation at the PBE+U level of DFT.

The value obtained for the density of states at the Fermi level is 1.7 states/eV per cell. Its energy is -3.512 eV/atom. As for the spin magnetization: 5.1 μB/cell. The space group is P4/mmm.

a = 4.2439 Å, b = 4.2843 Å, c = 4.2439 Å
α = 90.00°, β = 90.00°, γ = 90.00°
With the nearest neighbours (Å) after each atom.
Positions (direct):
Ni  0.0000  0.5000  0.0000  2 F 2.14
Co  0.0000  0.0000  0.5000  2 F 2.12
Co  0.5000  0.0000  0.0000  2 F 2.12
Sn  0.5000  0.5000  0.5000  4 Ni 3.00, 8 Co 3.02
F  0.0000  0.0000  0.0000  4 Co 2.12, 2 Ni 2.14


3.
Computed, not measured: CoNiSnF6 after structural relaxation at the PBE+U level of DFT.

The value obtained for the density of states at the Fermi level is 0.0 states/eV per cell. Its energy is -4.731 eV/atom. As for the spin magnetization: 5.0 μB/cell. The space group is C2.

a = 5.3872 Å, b = 5.3922 Å, c = 5.1422 Å
α = 90.09°, β = 90.04°, γ = 59.96°
With the nearest neighbours (Å) after each atom.
Positions (direct):
Co  0.3335  0.3332  0.5000  6 F 2.06-2.07
Ni  0.6664  0.6668  0.5000  6 F 2.04
Sn  0.0001  0.0000  0.0000  6 F 2.43
F  0.9961  0.3612  0.2860  1 Ni 2.04, 1 Co 2.06
F  0.3616  0.9966  0.7143  1 Ni 2.04, 1 Co 2.07
F  0.6422  0.3623  0.7144  1 Ni 2.04, 1 Co 2.06
F  0.9959  0.6428  0.7140  1 Ni 2.04, 1 Co 2.06
F  0.3617  0.6418  0.2856  1 Ni 2.04, 1 Co 2.07
F  0.6423  0.9955  0.2856  1 Ni 2.04, 1 Co 2.06


4.
Computed, not measured: CoTcNiF2 after structural relaxation at the PBE+U level of DFT.

The value obtained for the density of states at the Fermi level is 2.5 states/eV per cell. Its energy is -4.344 eV/atom. As for the spin magnetization: 7.4 μB/cell. The space group is P4/mmm.

a = 3.6990 Å, b = 5.6317 Å, c = 3.6990 Å
α = 90.00°, β = 90.00°, γ = 90.00°
With the nearest neighbours (Å) after each atom.
Positions (direct):
Ni  0.0000  0.0000  0.0000  4 F 1.85
Co  0.0000  0.5000  0.0000  4 Tc 2.62, 2 Ni 2.82
Tc  0.5000  0.5000  0.5000  4 Co 2.62
F  0.0000  0.0000  0.5000  2 Ni 1.85
F  0.5000  0.0000  0.0000  2 Ni 1.85